# 1
Here is a relaxed structure of RbGe from Alexandria. Energies are from PBE.

a b c (Å): 12.299 12.299 4.470
angles (deg): 90.00 90.00 90.00
Atoms (fractional coordinates):
1 Ge 0.953 0.594 0.500
2 Ge 0.453 0.094 0.000
3 Ge 0.547 0.906 0.000
4 Ge 0.094 0.547 0.000
5 Ge 0.047 0.406 0.500
6 Ge 0.906 0.453 0.000
7 Ge 0.594 0.047 0.500
8 Ge 0.406 0.953 0.500
9 Rb 0.292 0.614 0.500
10 Rb 0.708 0.386 0.500
11 Rb 0.614 0.708 0.500
12 Rb 0.792 0.114 0.000
13 Rb 0.386 0.292 0.500
14 Rb 0.208 0.886 0.000
15 Rb 0.886 0.792 0.000
16 Rb 0.114 0.208 0.000

Results
Spin magnetization (μB/atom): 0.000
Offset from the most stable computed form (eV/f.u.): 0.44
ΔH_f (0 K) (kJ per mole of atoms): 3.14



# 2
Here is a relaxed structure of Rb3Ge from Alexandria. Energies are from PBE.

a b c (Å): 8.718 8.718 6.214
angles (deg): 90.00 90.00 120.00
Each line ends with the local moment (μB).
Atoms (fractional coordinates):
1 Rb 0.813 0.187 0.750  0.01
2 Rb 0.373 0.187 0.750  0.01
3 Rb 0.813 0.627 0.750  0.01
4 Rb 0.187 0.373 0.250  0.01
5 Rb 0.627 0.813 0.250  0.01
6 Rb 0.187 0.813 0.250  0.01
7 Ge 0.333 0.667 0.750  0.37
8 Ge 0.667 0.333 0.250  0.37

Results
Spin magnetization (μB/atom): 0.263
Offset from the most stable computed form (eV/f.u.): 0.03
ΔH_f (0 K) (kJ per mole of atoms): 18.65



# 3
Here is a relaxed structure of RbGe from Alexandria. Energies are from PBE.

a b c (Å): 7.001 8.221 11.209
angles (deg): 90.00 90.00 90.00
Atoms (fractional coordinates):
1 Ge 0.604 0.272 0.302
2 Ge 0.104 0.228 0.698
3 Ge 0.896 0.728 0.802
4 Ge 0.932 0.019 0.831
5 Ge 0.396 0.772 0.198
6 Ge 0.432 0.481 0.169
7 Ge 0.568 0.981 0.331
8 Ge 0.068 0.519 0.669
9 Rb 0.097 0.328 0.376
10 Rb 0.403 0.672 0.876
11 Rb 0.587 0.614 0.487
12 Rb 0.903 0.828 0.124
13 Rb 0.087 0.886 0.513
14 Rb 0.597 0.172 0.624
15 Rb 0.413 0.114 0.013
16 Rb 0.913 0.386 0.987

Results
Spin magnetization (μB/atom): 0.000
Offset from the most stable computed form (eV/f.u.): 0.28
ΔH_f (0 K) (kJ per mole of atoms): -4.49



# 4
Here is a relaxed structure of RbGe from Alexandria. Energies are from PBE.

a b c (Å): 4.075 6.035 12.126
angles (deg): 90.00 109.63 90.00
Atoms (fractional coordinates):
1 Rb 0.408 0.000 0.159
2 Rb 0.592 0.000 0.841
3 Rb 0.592 0.500 0.341
4 Rb 0.408 0.500 0.659
5 Ge 0.813 0.500 0.063
6 Ge 0.187 0.000 0.437
7 Ge 0.187 0.500 0.937
8 Ge 0.813 0.000 0.563

Results
Spin magnetization (μB/atom): 0.000
Offset from the most stable computed form (eV/f.u.): 0.16
ΔH_f (0 K) (kJ per mole of atoms): -10.48



Which value of ΔH_f (0 K) does entry 3 give? -4.49 kJ per mole of atoms